Computed, not measured: a relaxed structure of TmCuPdPb at the PBE level of DFT.

Geometry as POSCAR:
```
TmCuPdPb
1.0
4.803 0.000 0.000
2.401 4.159 0.000
2.401 1.386 3.922
Pb Cu Pd Tm
1 1 1 1
direct
0.500 0.500 0.500
0.250 0.250 0.250
0.750 0.750 0.750
0.000 0.000 0.000
```

Properties
DOS at the Fermi energy: 2.52 states/eV per cell
total energy: -4.813 eV per atom